No. 1
Here is a relaxed AgPtW2 crystal from the Alexandria database. Energies are from PBE.

Values from the calculation:
* space-group type: Cm (8)
* DOS at the Fermi energy: 2.467 states/eV per cell
* formation enthalpy at 0 K: 5.955 kcal/mol of atoms
* E above lowest polymorph: 122.1 meV per atom
* E: -8.441 eV/atom

CIF file:
```
data_AgPtW2
_space_group_name_H-M_alt 'P 1'
_space_group_IT_number 1
_space_group_name_Hall 'P 1'
_cell_length_a 4.8696
_cell_length_b 4.8696
_cell_length_c 5.0953
_cell_angle_alpha 82.38
_cell_angle_beta 82.38
_cell_angle_gamma 32.61
loop_
_atom_site_label
_atom_site_type_symbol
_atom_site_fract_x
_atom_site_fract_y
_atom_site_fract_z
_atom_site_occupancy
Ag1 Ag 0.4986 0.4986 0.5029 1
W1 W 0.0055 0.0055 0.9984 1
W2 W 0.2528 0.2528 0.2490 1
Pt1 Pt 0.7430 0.7430 0.7496 1
```

No. 2
Here is a relaxed PuTh3C8 crystal from the Alexandria database. Energies are from PBE.

Values from the calculation:
* space-group type: Fmm2 (42)
* DOS at the Fermi energy: 12.615 states/eV per cell
* formation enthalpy at 0 K: 3.435 kcal/mol of atoms
* E: -9.050 eV/atom

CIF file:
```
data_PuTh3C8
_space_group_name_H-M_alt 'P 1'
_space_group_IT_number 1
_space_group_name_Hall 'P 1'
_cell_length_a 6.3703
_cell_length_b 6.3655
_cell_length_c 6.3703
_cell_angle_alpha 66.87
_cell_angle_beta 77.59
_cell_angle_gamma 113.13
loop_
_atom_site_label
_atom_site_type_symbol
_atom_site_fract_x
_atom_site_fract_y
_atom_site_fract_z
_atom_site_occupancy
Pu1 Pu 0.0004 0.0000 0.9997 1
Th1 Th 0.7506 0.5000 0.7494 1
Th2 Th 0.2506 0.5000 0.2495 1
Th3 Th 0.5002 0.0000 0.4999 1
C1 C 0.0806 0.0000 0.6008 1
C2 C 0.6001 0.6813 0.3999 1
C3 C 0.9188 0.3187 0.0813 1
C4 C 0.3992 0.0000 0.9194 1
C5 C 0.8686 0.0000 0.6201 1
C6 C 0.6203 0.4893 0.3797 1
C7 C 0.1310 0.5107 0.8690 1
C8 C 0.3799 0.0000 0.1314 1
```

No. 3
Here is a relaxed Mn2CoGeN crystal from the Alexandria database. Energies are from PBE.

Values from the calculation:
* space-group type: P4/mmm (123)
* DOS at the Fermi energy: 4.573 states/eV per cell
* formation energy (no corrections): -0.7 eV/f.u.
* E: -7.820 eV/atom

CIF file:
```
data_Mn2CoGeN
_space_group_name_H-M_alt 'P 1'
_space_group_IT_number 1
_space_group_name_Hall 'P 1'
_cell_length_a 3.7654
_cell_length_b 3.7654
_cell_length_c 3.8335
_cell_angle_alpha 90.00
_cell_angle_beta 90.00
_cell_angle_gamma 90.00
loop_
_atom_site_label
_atom_site_type_symbol
_atom_site_fract_x
_atom_site_fract_y
_atom_site_fract_z
_atom_site_occupancy
Ge1 Ge 0.5000 0.5000 0.5000 1
Mn1 Mn 0.0000 0.5000 0.0000 1
Mn2 Mn 0.5000 0.0000 0.0000 1
Co1 Co 0.0000 0.0000 0.5000 1
N1 N 0.0000 0.0000 0.0000 1
```

No. 4
Here is a relaxed Hf2Ni4S5 crystal from the Alexandria database. Energies are from PBE.

Values from the calculation:
* space-group type: R-3m (166)
* DOS at the Fermi energy: 5.389 states/eV per cell
* formation energy (no corrections): -8.1 eV/f.u.
* E: -6.521 eV/atom

CIF file:
```
data_Hf2Ni4S5
_space_group_name_H-M_alt 'P 1'
_space_group_IT_number 1
_space_group_name_Hall 'P 1'
_cell_length_a 3.6508
_cell_length_b 3.6508
_cell_length_c 14.9194
_cell_angle_alpha 82.97
_cell_angle_beta 82.97
_cell_angle_gamma 60.00
loop_
_atom_site_label
_atom_site_type_symbol
_atom_site_fract_x
_atom_site_fract_y
_atom_site_fract_z
_atom_site_occupancy
Hf1 Hf 0.1324 0.1324 0.6029 1
Hf2 Hf 0.8676 0.8676 0.3971 1
Ni1 Ni 0.6834 0.6834 0.9499 1
Ni2 Ni 0.5796 0.5796 0.2611 1
Ni3 Ni 0.4204 0.4204 0.7389 1
Ni4 Ni 0.3166 0.3166 0.0501 1
S1 S 0.7637 0.7637 0.7088 1
S2 S 0.6321 0.6321 0.1038 1
S3 S 0.5000 0.5000 0.5000 1
S4 S 0.3679 0.3679 0.8962 1
S5 S 0.2363 0.2363 0.2912 1
```